First-principles (meta-GGA SCAN) data for ZrCdO2 at its PBEsol-relaxed geometry, as listed in Alexandria via LeMat-Bulk.

The space group is R-3m (No. 166, hexagonal axes) and the conventional cell measures 3.2134, 3.2134 and 22.9198 Å, with angles of 90.00, 90.00 and 120.00 degrees. Symmetry generates all atoms from Zr at (0.0000, 0.0000, 0.0000), Cd at (0.0000, 0.0000, 0.5000) and O at (0.0000, 0.0000, 0.3767).

The density of states at the Fermi level is 0.23 states/eV/atom. The calculated density is 5.73 g/cm³. The calculation puts the total energy at -250.962 eV/cell.


First-principles (meta-GGA SCAN) data for CdOs2 at its PBEsol-relaxed geometry, as listed in Alexandria via LeMat-Bulk.

The space group is P6/mmm (No. 191) and the conventional cell measures 4.4411, 4.4411 and 2.7679 Å, with angles of 90.00, 90.00 and 120.00 degrees. Symmetry generates all atoms from Cd at (0.0000, 0.0000, 0.0000) and Os at (0.3333, 0.6667, 0.5000).

The density of states at the Fermi level is 0.73 states/eV/atom. The calculated density is 17.31 g/cm³. For the formation energy from the elements, the calculation gives 742 meV/atom. The calculation puts the total energy at -171.948 eV/cell.


First-principles (meta-GGA SCAN) data for Cd2Os at its PBEsol-relaxed geometry, as listed in Alexandria via LeMat-Bulk.

The space group is P-3m1 (No. 164) and the conventional cell measures 2.8688, 2.8688 and 7.2516 Å, with angles of 90.00, 90.00 and 120.00 degrees. Symmetry generates all atoms from Cd at (0.3333, 0.6667, 0.1810) and Os at (0.0000, 0.0000, 0.5000).

The density of states at the Fermi level is 0.50 states/eV/atom. The calculated density is 13.33 g/cm³. For the formation energy from the elements, the calculation gives 531 meV/atom. The calculation puts the total energy at -131.115 eV/cell.


First-principles (meta-GGA SCAN) data for CdOs2 at its PBEsol-relaxed geometry, as listed in Alexandria via LeMat-Bulk.

The space group is I4/mmm (No. 139) and the conventional cell measures 2.802, 2.802 and 11.978 Å, with angles of 90.00, 90.00 and 90.00 degrees. Symmetry generates all atoms from Cd at (0.000, 0.000, 0.000) and Os at (0.000, 0.000, 0.318).

The density of states at the Fermi level is 0.61 states/eV/atom. The calculated density is 17.41 g/cm³. For the formation energy from the elements, the calculation gives 323 meV/atom. The calculation puts the total energy at -346.410 eV/cell.


First-principles (meta-GGA SCAN) data for CdP2Os2 at its PBEsol-relaxed geometry, as listed in Alexandria via LeMat-Bulk.

The space group is I4/mmm (No. 139) and the conventional cell measures 3.691, 3.691 and 11.262 Å, with angles of 90.00, 90.00 and 90.00 degrees. Symmetry generates all atoms from Cd at (0.000, 0.000, 0.000), P at (0.000, 0.500, 0.250) and Os at (0.000, 0.000, 0.375).

The density of states at the Fermi level is 0.23 states/eV/atom. The calculated density is 12.01 g/cm³. For the formation energy from the elements, the calculation gives -119 meV/atom. The calculation puts the total energy at -391.133 eV/cell.


First-principles (meta-GGA SCAN) data for Cd2TePOs at its PBEsol-relaxed geometry, as listed in Alexandria via LeMat-Bulk.

The space group is P4/mmm (No. 123) and the conventional cell measures 5.323, 5.323 and 4.812 Å, with angles of 90.00, 90.00 and 90.00 degrees. Symmetry generates all atoms from Cd at (0.000, 0.500, 0.000), Te at (0.000, 0.000, 0.000), P at (0.500, 0.500, 0.500) and Os at (0.000, 0.000, 0.500).

The density of states at the Fermi level is 0.90 states/eV/atom. The calculated density is 6.99 g/cm³. The calculation puts the total energy at -172.067 eV/cell.


Please write out number 3 again, unchanged.
First-principles (meta-GGA SCAN) data for Cd2Os at its PBEsol-relaxed geometry, as listed in Alexandria via LeMat-Bulk.

The space group is P-3m1 (No. 164) and the conventional cell measures 2.8688, 2.8688 and 7.2516 Å, with angles of 90.00, 90.00 and 120.00 degrees. Symmetry generates all atoms from Cd at (0.3333, 0.6667, 0.1810) and Os at (0.0000, 0.0000, 0.5000).

The density of states at the Fermi level is 0.50 states/eV/atom. The calculated density is 13.33 g/cm³. For the formation energy from the elements, the calculation gives 531 meV/atom. The calculation puts the total energy at -131.115 eV/cell.